No. 1
DFT (PBE) results for a relaxed structure of HgI2Cl.

The calculation puts the calculated density at 7018 kg/m3. The calculation puts the volume at 28.98 Å³/atom. As for the formation energy without anion corrections: 0.235 eV per atom. The total magnetic moment comes out at 0.000 μB/atom.

It has space group Fm-3m (No. 225), with a = 7.740 Å, b = 7.740 Å, c = 7.740 Å, α = 90.00°, β = 90.00° and γ = 90.00°. The asymmetric unit holds Hg at (0.000, 0.000, 0.000), I at (0.250, 0.250, 0.250) and Cl at (0.000, 0.000, 0.500).

---

No. 2
DFT (PBE) results for a relaxed structure of HgI2Cl2.

The calculation puts the calculated density at 5092 kg/m3. The calculation puts the volume at 34.26 Å³/atom. As for the formation energy without anion corrections: 0.164 eV per atom. The total magnetic moment comes out at 0.005 μB/atom.

It has space group P4/mbm (No. 127), with a = 9.438 Å, b = 9.438 Å, c = 3.846 Å, α = 90.00°, β = 90.00° and γ = 90.00°. The asymmetric unit holds Hg at (0.000, 0.000, 0.000), I at (0.102, 0.398, 0.000) and Cl at (0.229, 0.729, 0.500).

---

No. 3
DFT (PBE) results for a relaxed structure of HgICl2.

The calculation puts the calculated density at 4565 kg/m3. The calculation puts the volume at 36.23 Å³/atom. As for the formation energy without anion corrections: -0.259 eV per atom. The total magnetic moment comes out at 0.000 μB/atom.

It has space group C2 (No. 5), with a = 11.206 Å, b = 7.583 Å, c = 3.518 Å, α = 90.00°, β = 104.18° and γ = 90.00°. The asymmetric unit holds Hg at (0.000, 0.000, 0.000), I at (0.000, 0.583, 0.000) and Cl at (0.173, 0.046, 0.708).

---

No. 4
DFT (PBE) results for a relaxed structure of HgICl3.

The calculation puts the calculated density at 4832 kg/m3. The calculation puts the volume at 29.82 Å³/atom. As for the formation energy without anion corrections: -0.009 eV per atom. The total magnetic moment comes out at 0.397 μB/atom.

It has space group Pm-3m (No. 221), with a = 5.303 Å, b = 5.303 Å, c = 5.303 Å, α = 90.00°, β = 90.00° and γ = 90.00°. The asymmetric unit holds Hg at (0.000, 0.000, 0.000), I at (0.500, 0.500, 0.500) and Cl at (0.000, 0.000, 0.500).

---

No. 5
DFT (PBE) results for a relaxed structure of HgI2Cl.

The calculation puts the calculated density at 4330 kg/m3. The calculation puts the volume at 46.97 Å³/atom. As for the formation energy without anion corrections: -0.233 eV per atom. The total magnetic moment comes out at 0.000 μB/atom.

It has space group P1 (No. 1), with a = 6.088 Å, b = 6.543 Å, c = 10.265 Å, α = 98.49°, β = 106.84° and γ = 100.66°. The asymmetric unit holds Hg at (0.000, 0.000, 0.000), Hg at (0.207, 0.697, 0.075), I at (0.211, 0.921, 0.714), I at (0.216, 0.329, 0.397), I at (0.521, 0.496, 0.236), I at (0.920, 0.164, 0.552), Cl at (0.462, 0.710, 0.861) and Cl at (0.846, 0.307, 0.947).

---

No. 6
DFT (PBE) results for a relaxed structure of HgICl4.

The calculation puts the calculated density at 3068 kg/m3. The calculation puts the volume at 42.34 Å³/atom. As for the formation energy without anion corrections: -0.325 eV per atom. The total magnetic moment comes out at 0.000 μB/atom.

It has space group C2/c (No. 15), with a = 7.477 Å, b = 20.323 Å, c = 7.152 Å, α = 90.00°, β = 110.79° and γ = 90.00°. The asymmetric unit holds Hg at (0.000, 0.043, 0.250), I at (0.000, 0.301, 0.750), Cl at (0.170, 0.173, 0.025) and Cl at (0.240, 0.047, 0.564).